# BaSiTc2 GGA-PBE optimized geometry
# Energy relative to the elements, uncorrected ... 0.964 eV/atom
data_BaSiTc2
_cell_length_a 4.590
_cell_length_b 3.168
_cell_length_c 5.438
_cell_angle_alpha 90.00
_cell_angle_beta 111.73
_cell_angle_gamma 90.00
_symmetry_space_group_name_H-M 'P 1 2/m 1'
_symmetry_Int_Tables_number 10
_symmetry_space_group_name_Hall '-P 2y'
loop_
_atom_site_label
_atom_site_fract_x
_atom_site_fract_y
_atom_site_fract_z
Ba1 0.000 0.000 0.000
Si1 0.000 0.500 0.500
Tc1 0.500 0.000 0.500
Tc2 0.500 0.500 0.000

---

# Ac2GaHg6 GGA-PBE optimized geometry
# Energy relative to the elements ... -358 meV/atom
data_Ac2GaHg6
_cell_length_a 12.123
_cell_length_b 6.801
_cell_length_c 5.938
_cell_angle_alpha 90.00
_cell_angle_beta 91.94
_cell_angle_gamma 90.00
_symmetry_space_group_name_H-M 'C 1 2/m 1'
_symmetry_Int_Tables_number 12
_symmetry_space_group_name_Hall '-C 2y'
loop_
_atom_site_label
_atom_site_fract_x
_atom_site_fract_y
_atom_site_fract_z
Ac1 0.161 0.000 0.193
Ga1 0.000 0.500 0.000
Hg1 0.090 0.241 0.686
Hg2 0.184 0.500 0.305

---

# K3Si23 GGA-PBE optimized geometry
# Energy relative to the elements, uncorrected ... -0.016 eV/atom
data_K3Si23
_cell_length_a 10.286
_cell_length_b 10.286
_cell_length_c 10.286
_cell_angle_alpha 90.00
_cell_angle_beta 90.00
_cell_angle_gamma 90.00
_symmetry_space_group_name_H-M 'P m -3 n'
_symmetry_Int_Tables_number 223
_symmetry_space_group_name_Hall '-P 4n 2 3'
loop_
_atom_site_label
_atom_site_fract_x
_atom_site_fract_y
_atom_site_fract_z
K1 0.000 0.250 0.500
Si1 0.000 0.306 0.118
Si2 0.000 0.500 0.250
Si3 0.184 0.184 0.184

---

# Tb3Nd2Y4 GGA-PBE optimized geometry
# Energy relative to the elements ... 91 meV/atom
# Energy above the most stable polymorph in this dataset ... 11 meV per atom
data_Tb3Nd2Y4
_cell_length_a 16.466
_cell_length_b 11.674
_cell_length_c 6.171
_cell_angle_alpha 90.00
_cell_angle_beta 96.12
_cell_angle_gamma 90.00
_symmetry_space_group_name_H-M 'C 1 2/c 1'
_symmetry_Int_Tables_number 15
_symmetry_space_group_name_Hall '-C 2yc'
loop_
_atom_site_label
_atom_site_fract_x
_atom_site_fract_y
_atom_site_fract_z
Tb1 0.000 0.096 0.250
Tb2 0.165 0.402 0.094
Nd1 0.122 0.144 0.824
Y1 0.047 0.359 0.515
Y2 0.215 0.137 0.350

---

Number 1: D(E_F) 4.512 states/eV per cell. Number 2: D(E_F) 9.280 states/eV per cell. Number 3: D(E_F) 16.131 states/eV per cell. Number 4: D(E_F) 51.402 states/eV per cell.